DFT (GGA+U) results for an optimized crystal structure of HfFeSbO6.

The space group is P-31c (No. 163) and the conventional cell measures 5.2661, 5.2661 and 8.8736 Å, with angles of 90.00, 90.00 and 120.00 degrees. The inequivalent atoms are Hf at (0.3333, 0.6667, 0.2500), Fe at (0.0000, 0.0000, 0.0000), Sb at (0.3333, 0.6667, 0.7500) and O at (0.0105, 0.3414, 0.6280).

As for the total DFT energy (no corrections): -7.50 eV per atom.